(1)
Compound: NpOF3
Source: Alexandria
Functional: PBE
Structure: optimized geometry

For the magnetization, the calculation gives 0.400 μB per atom. Its crystal system is cubic. For the total energy, the calculation gives -7.60 eV per atom. Its uncorrected formation energy is -2.90 eV per atom.

It has space group P2_13 (No. 198), with a = 6.0785 Å, b = 6.0785 Å, c = 6.0785 Å, α = 90.00°, β = 90.00° and γ = 90.00°. The distinct sites, in fractional coordinates, are Np at (0.0733, 0.0733, 0.0733), O at (0.1657, 0.8343, 0.3343) and F at (0.0690, 0.9033, 0.7305).

***

(2)
Compound: NpPO4F
Source: Alexandria
Functional: PBE
Structure: optimized geometry

For the magnetization, the calculation gives 0.429 μB per atom. Its crystal system is monoclinic. For the total energy, the calculation gives -8.47 eV per atom. Its uncorrected formation energy is -2.75 eV per atom.

It has space group C2/m (No. 12), with a = 9.0592 Å, b = 7.0081 Å, c = 6.5647 Å, α = 90.00°, β = 105.68° and γ = 90.00°. The distinct sites, in fractional coordinates, are Np at (0.2196, 0.0000, 0.1444), P at (0.1492, 0.5000, 0.2729), O at (0.0240, 0.5000, 0.7529), O at (0.1964, 0.3263, 0.1537), O at (0.2394, 0.5000, 0.5065) and F at (0.0192, 0.0000, 0.8208).

***

(3)
Compound: NpPO4F
Source: Alexandria
Functional: PBE
Structure: optimized geometry

For the magnetization, the calculation gives 0.429 μB per atom. Its crystal system is orthorhombic. For the total energy, the calculation gives -8.46 eV per atom. Its uncorrected formation energy is -2.74 eV per atom.

It has space group Pnma (No. 62), with a = 8.6864 Å, b = 6.9914 Å, c = 6.4018 Å, α = 90.00°, β = 90.00° and γ = 90.00°. The distinct sites, in fractional coordinates, are Np at (0.0574, 0.2500, 0.1518), P at (0.0997, 0.7500, 0.3198), O at (0.0118, 0.2500, 0.4941), O at (0.0661, 0.5757, 0.1725), O at (0.2328, 0.2500, 0.8925) and F at (0.2064, 0.7500, 0.8075).

***

(4)
Compound: NpP2O8F
Source: Alexandria
Functional: PBE
Structure: optimized geometry

For the magnetization, the calculation gives 0.000 μB per atom. Its crystal system is trigonal. For the total energy, the calculation gives -7.51 eV per atom. Its uncorrected formation energy is -2.07 eV per atom.

It has space group P-3m1 (No. 164), with a = 5.9032 Å, b = 5.9032 Å, c = 4.8352 Å, α = 90.00°, β = 90.00° and γ = 120.00°. The distinct sites, in fractional coordinates, are Np at (0.0000, 0.0000, 0.0000), P at (0.3333, 0.6667, 0.2906), O at (0.1915, 0.3830, 0.1688), O at (0.3333, 0.6667, 0.5985) and F at (0.0000, 0.0000, 0.5000).

***

(5)
Compound: NpPO4F2
Source: Alexandria
Functional: PBE
Structure: optimized geometry

For the magnetization, the calculation gives 0.250 μB per atom. Its crystal system is orthorhombic. For the total energy, the calculation gives -7.95 eV per atom. Its uncorrected formation energy is -2.71 eV per atom.

It has space group Pmmn (No. 59, origin choice 2), with a = 5.6481 Å, b = 6.9345 Å, c = 7.2485 Å, α = 90.00°, β = 90.00° and γ = 90.00°. The distinct sites, in fractional coordinates, are Np at (0.2500, 0.2500, 0.2330), P at (0.2500, 0.7500, 0.0964), O at (0.0249, 0.7500, 0.9717), O at (0.2500, 0.5673, 0.2157) and F at (0.0001, 0.2500, 0.4320).

***

(6)
Compound: NpPb3O6F2
Source: Alexandria
Functional: PBE
Structure: optimized geometry

For the magnetization, the calculation gives 0.000 μB per atom. Its crystal system is monoclinic. For the total energy, the calculation gives -6.62 eV per atom. Its uncorrected formation energy is -1.82 eV per atom.

It has space group C2/m (No. 12), with a = 12.7886 Å, b = 6.7292 Å, c = 4.8501 Å, α = 90.00°, β = 93.90° and γ = 90.00°. The distinct sites, in fractional coordinates, are Np at (0.0000, 0.0000, 0.0000), Pb at (0.0000, 0.5000, 0.5000), Pb at (0.2500, 0.2500, 0.0000), O at (0.0663, 0.2288, 0.7803), O at (0.1351, 0.0000, 0.2143) and F at (0.1710, 0.5000, 0.3087).

***

(7)
Compound: NpPb2O4F2
Source: Alexandria
Functional: PBE
Structure: optimized geometry

For the magnetization, the calculation gives 0.111 μB per atom. Its crystal system is tetragonal. For the total energy, the calculation gives -6.94 eV per atom. Its uncorrected formation energy is -2.05 eV per atom.

It has space group I4/mmm (No. 139), with a = 6.1156 Å, b = 6.1156 Å, c = 7.6609 Å, α = 90.00°, β = 90.00° and γ = 90.00°. The distinct sites, in fractional coordinates, are Np at (0.0000, 0.0000, 0.0000), Pb at (0.0000, 0.5000, 0.2500), O at (0.2291, 0.2291, 0.0000) and F at (0.0000, 0.0000, 0.2845).

***

(8)
Compound: Pr3NpO6F2
Source: Alexandria
Functional: PBE
Structure: optimized geometry

For the magnetization, the calculation gives 0.167 μB per atom. Its crystal system is monoclinic. For the total energy, the calculation gives -8.27 eV per atom. Its uncorrected formation energy is -3.20 eV per atom.

It has space group C2/m (No. 12), with a = 12.3535 Å, b = 7.0010 Å, c = 4.8871 Å, α = 90.00°, β = 93.17° and γ = 90.00°. The distinct sites, in fractional coordinates, are Pr at (0.0000, 0.0000, 0.0000), Pr at (0.2500, 0.2500, 0.5000), Np at (0.0000, 0.5000, 0.5000), O at (0.0738, 0.2607, 0.2811), O at (0.1580, 0.5000, 0.7010) and F at (0.1719, 0.0000, 0.7705).

***

(9)
Compound: Rb2NpO4F2
Source: Alexandria
Functional: PBE
Structure: optimized geometry

For the magnetization, the calculation gives 0.119 μB per atom. Its crystal system is tetragonal. For the total energy, the calculation gives -6.63 eV per atom. Its uncorrected formation energy is -2.36 eV per atom.

It has space group I4/mmm (No. 139), with a = 6.0317 Å, b = 6.0317 Å, c = 10.2154 Å, α = 90.00°, β = 90.00° and γ = 90.00°. The distinct sites, in fractional coordinates, are Rb at (0.0000, 0.5000, 0.2500), Np at (0.0000, 0.0000, 0.0000), O at (0.2196, 0.2196, 0.0000) and F at (0.0000, 0.0000, 0.2213).

***

(10)
Compound: Rb2NpO2F2
Source: Alexandria
Functional: PBE
Structure: optimized geometry

For the magnetization, the calculation gives 0.429 μB per atom. Its crystal system is tetragonal. For the total energy, the calculation gives -6.86 eV per atom. Its uncorrected formation energy is -2.78 eV per atom.

It has space group I4/mmm (No. 139), with a = 4.3581 Å, b = 4.3581 Å, c = 14.8281 Å, α = 90.00°, β = 90.00° and γ = 90.00°. The distinct sites, in fractional coordinates, are Rb at (0.0000, 0.0000, 0.1487), Np at (0.0000, 0.0000, 0.5000), O at (0.0000, 0.5000, 0.0000) and F at (0.0000, 0.0000, 0.3409).

***

(11)
Compound: Rb3Np2O4F3
Source: Alexandria
Functional: PBE
Structure: optimized geometry

For the magnetization, the calculation gives 0.500 μB per atom. Its crystal system is orthorhombic. For the total energy, the calculation gives -7.20 eV per atom. Its uncorrected formation energy is -2.68 eV per atom.

It has space group Immm (No. 71), with a = 4.3281 Å, b = 4.7083 Å, c = 23.7944 Å, α = 90.00°, β = 90.00° and γ = 90.00°. The distinct sites, in fractional coordinates, are Rb at (0.0000, 0.0000, 0.0000), Rb at (0.0000, 0.0000, 0.1956), Np at (0.0000, 0.0000, 0.3978), O at (0.0000, 0.0000, 0.3139), O at (0.0000, 0.5000, 0.0954), F at (0.0000, 0.0000, 0.5000) and F at (0.0000, 0.5000, 0.4088).

***

(12)
Compound: RbNpO2F8
Source: Alexandria
Functional: PBE
Structure: optimized geometry

For the magnetization, the calculation gives 0.218 μB per atom. Its crystal system is trigonal. For the total energy, the calculation gives -5.21 eV per atom. Its uncorrected formation energy is -1.98 eV per atom.

It has space group P-3m1 (No. 164), with a = 5.5736 Å, b = 5.5736 Å, c = 8.4014 Å, α = 90.00°, β = 90.00° and γ = 120.00°. The distinct sites, in fractional coordinates, are Rb at (0.0000, 0.0000, 0.0000), Np at (0.0000, 0.0000, 0.5000), O at (0.3333, 0.6667, 0.1106), F at (0.1663, 0.3326, 0.6465) and F at (0.3333, 0.6667, 0.9418).

***

(13)
Compound: Rb3Np2O5F2
Source: Alexandria
Functional: PBE
Structure: optimized geometry

For the magnetization, the calculation gives 0.417 μB per atom. Its crystal system is tetragonal. For the total energy, the calculation gives -7.52 eV per atom. Its uncorrected formation energy is -2.74 eV per atom.

It has space group I4/mmm (No. 139), with a = 4.3295 Å, b = 4.3295 Å, c = 23.6881 Å, α = 90.00°, β = 90.00° and γ = 90.00°. The distinct sites, in fractional coordinates, are Rb at (0.0000, 0.0000, 0.0000), Rb at (0.0000, 0.0000, 0.1874), Np at (0.0000, 0.0000, 0.4085), O at (0.0000, 0.0000, 0.5000), O at (0.0000, 0.5000, 0.0961) and F at (0.0000, 0.0000, 0.3084).

***

(14)
Compound: Rb2NpO2F4
Source: Alexandria
Functional: PBE
Structure: optimized geometry

For the magnetization, the calculation gives 0.111 μB per atom. Its crystal system is monoclinic. For the total energy, the calculation gives -6.56 eV per atom. Its uncorrected formation energy is -2.98 eV per atom.

It has space group C2/m (No. 12), with a = 10.7893 Å, b = 6.4736 Å, c = 4.9311 Å, α = 90.00°, β = 92.04° and γ = 90.00°. The distinct sites, in fractional coordinates, are Rb at (0.1634, 0.0000, 0.3106), Np at (0.0000, 0.5000, 0.0000), O at (0.1353, 0.5000, 0.2330) and F at (0.0888, 0.2509, 0.7776).

***

(15)
Compound: NpS2O3F6
Source: Alexandria
Functional: PBE
Structure: optimized geometry

For the magnetization, the calculation gives 0.127 μB per atom. Its crystal system is monoclinic. For the total energy, the calculation gives -5.79 eV per atom. Its uncorrected formation energy is -1.84 eV per atom.

It has space group C2/m (No. 12), with a = 10.1030 Å, b = 5.5613 Å, c = 7.3400 Å, α = 90.00°, β = 95.55° and γ = 90.00°. The distinct sites, in fractional coordinates, are Np at (0.0000, 0.0000, 0.0000), S at (0.1692, 0.5000, 0.5624), O at (0.0000, 0.5000, 0.5000), O at (0.2500, 0.2500, 0.5000), F at (0.0770, 0.0000, 0.7504) and F at (0.1310, 0.2549, 0.1010).

***

(16)
Compound: NpSO6F
Source: Alexandria
Functional: PBE
Structure: optimized geometry

For the magnetization, the calculation gives 0.152 μB per atom. Its crystal system is monoclinic. For the total energy, the calculation gives -6.59 eV per atom. Its uncorrected formation energy is -1.18 eV per atom.

It has space group C2 (No. 5), with a = 5.1621 Å, b = 8.9443 Å, c = 5.9959 Å, α = 90.00°, β = 90.43° and γ = 90.00°. The distinct sites, in fractional coordinates, are Np at (0.0000, 0.0000, 0.0000), S at (0.0000, 0.6666, 0.0000), O at (0.1271, 0.8030, 0.1591), O at (0.1430, 0.5356, 0.1591), O at (0.2339, 0.1614, 0.1590) and F at (0.0000, 0.3323, 0.5000).

***

(17)
Compound: NpSO6F2
Source: Alexandria
Functional: PBE
Structure: optimized geometry

For the magnetization, the calculation gives 0.106 μB per atom. Its crystal system is triclinic. For the total energy, the calculation gives -6.77 eV per atom. Its uncorrected formation energy is -1.72 eV per atom.

It has space group P1 (No. 1), with a = 5.8367 Å, b = 5.9228 Å, c = 6.1953 Å, α = 118.40°, β = 115.17° and γ = 90.04°. The distinct sites, in fractional coordinates, are Np at (0.0000, 0.0000, 0.0000), S at (0.3652, 0.5254, 0.0514), O at (0.2405, 0.6508, 0.8901), O at (0.2436, 0.2389, 0.8913), O at (0.3098, 0.1532, 0.3102), O at (0.6439, 0.6058, 0.2095), O at (0.7521, 0.6909, 0.7882), O at (0.7534, 0.0964, 0.7854), F at (0.2582, 0.6373, 0.2781) and F at (0.8414, 0.1356, 0.2669).

***

(18)
Compound: NpS2O6F2
Source: Alexandria
Functional: PBE
Structure: optimized geometry

For the magnetization, the calculation gives 0.455 μB per atom. Its crystal system is trigonal. For the total energy, the calculation gives -6.54 eV per atom. Its uncorrected formation energy is -1.57 eV per atom.

It has space group P-3 (No. 147), with a = 4.6454 Å, b = 4.6454 Å, c = 7.5290 Å, α = 90.00°, β = 90.00° and γ = 120.00°. The distinct sites, in fractional coordinates, are Np at (0.0000, 0.0000, 0.0000), S at (0.3333, 0.6667, 0.6787), O at (0.0485, 0.3381, 0.7222) and F at (0.3333, 0.6667, 0.0156).

***

(19)
Compound: Sm3NpO6F2
Source: Alexandria
Functional: PBE
Structure: optimized geometry

For the magnetization, the calculation gives 0.167 μB per atom. Its crystal system is monoclinic. For the total energy, the calculation gives -8.33 eV per atom. Its uncorrected formation energy is -3.28 eV per atom.

It has space group C2/m (No. 12), with a = 12.1085 Å, b = 6.8734 Å, c = 4.8037 Å, α = 90.00°, β = 93.03° and γ = 90.00°. The distinct sites, in fractional coordinates, are Sm at (0.0000, 0.0000, 0.0000), Sm at (0.2500, 0.2500, 0.5000), Np at (0.0000, 0.5000, 0.5000), O at (0.0755, 0.2573, 0.2773), O at (0.1612, 0.5000, 0.7029) and F at (0.1707, 0.0000, 0.7646).

***

(20)
Compound: Sr3NpO6F2
Source: Alexandria
Functional: PBE
Structure: optimized geometry

For the magnetization, the calculation gives 0.089 μB per atom. Its crystal system is monoclinic. For the total energy, the calculation gives -7.12 eV per atom. Its uncorrected formation energy is -2.83 eV per atom.

It has space group C2/m (No. 12), with a = 12.5870 Å, b = 7.1235 Å, c = 4.9525 Å, α = 90.00°, β = 91.00° and γ = 90.00°. The distinct sites, in fractional coordinates, are Sr at (0.0000, 0.0000, 0.0000), Sr at (0.2500, 0.2500, 0.5000), Np at (0.0000, 0.5000, 0.5000), O at (0.0675, 0.2823, 0.7125), O at (0.1363, 0.5000, 0.3046) and F at (0.1705, 0.0000, 0.2358).